No. 1
DFT (PBE-GGA) results for crystalline Tb3NdDy3 at its relaxed geometry.

The structure in extended XYZ format:
```
14
Lattice="-4.196 0.059 3.870 4.892 -6.238 5.399 1.265 9.428 1.228" Properties=species:S:1:pos:R:3 pbc="T T T"
Tb 0.546 1.117 6.891
Tb -0.697 -2.024 5.591
Tb 1.757 -2.010 8.251
Tb 1.414 2.131 3.606
Tb 2.657 5.272 4.906
Tb 0.203 5.258 2.246
Nd 2.634 -1.002 4.976
Nd -0.674 4.250 5.521
Dy 3.889 2.151 6.289
Dy 0.167 -1.005 2.301
Dy 3.845 -4.151 6.338
Dy -1.929 1.097 4.208
Dy 1.793 4.253 8.196
Dy -1.885 7.399 4.159
```

DFT formation energy in meV/atom: 14

=====

No. 2
DFT (PBE-GGA) results for crystalline ScAs2PtBr at its relaxed geometry.

The structure in extended XYZ format:
```
5
Lattice="-1.691 -4.114 -2.633 3.492 0.930 -3.695 3.250 -2.844 2.356" Properties=species:S:1:pos:R:3 pbc="T T T"
Sc 0.000 0.000 0.000
As 1.746 0.465 -1.848
As -0.845 -2.057 -1.317
Br 1.625 -1.422 1.178
Pt 2.526 -3.014 -1.987
```

Raw formation energy in eV/f.u.: 2.27

=====

No. 3
DFT (PBE-GGA) results for crystalline BaCo2N2 at its relaxed geometry.

The structure in extended XYZ format:
```
10
Lattice="5.416 0.347 -0.932 -2.595 4.766 -0.932 -0.728 -1.320 5.353" Properties=species:S:1:pos:R:3 pbc="T T T"
Ba 4.233 0.569 0.406
Ba -2.141 3.224 3.083
Co 0.398 3.089 1.519
Co 2.765 2.645 -1.158
Co 1.694 0.704 1.970
Co -0.673 1.148 4.647
N 1.596 2.024 0.406
N 3.234 0.259 3.083
N -1.142 3.534 0.406
N 0.496 1.769 3.083
```

Raw formation energy in eV/f.u.: -0.04

=====

no.,electronic total energy (eV/atom)
1,-4.624
2,-4.215
3,-6.565